A geometry-optimized SrSiW3 structure. Source: Alexandria via LeMat-Bulk, functional PBE.

Calculated values
density of states at the Fermi level = 6.59 states/eV per cell
VASP energy = -5.352 eV per atom

Cell: 4.800 4.800 4.800 Å, 90.00 90.00 90.00°
Element x y z (fractional)
Sr  0.000  0.000  0.000
Si  0.500  0.500  0.500
W  0.000  0.000  0.500
W  0.000  0.500  0.000
W  0.500  0.000  0.000

***

A geometry-optimized Tc2NiW structure. Source: Alexandria via LeMat-Bulk, functional PBE.

Calculated values
density of states at the Fermi level = 4.06 states/eV per cell
VASP energy = -9.795 eV per atom

Cell: 3.173 3.173 5.618 Å, 90.00 90.00 90.00°
Element x y z (fractional)
Tc  0.000  0.000  0.230
Tc  0.000  0.000  0.770
Ni  0.500  0.500  0.000
W  0.500  0.500  0.500

***

A geometry-optimized Sr2CaBi2 structure. Source: Alexandria via LeMat-Bulk, functional PBE.

Calculated values
density of states at the Fermi level = 5.58 states/eV per cell
VASP energy = -3.209 eV per atom

Cell: 9.475 9.475 4.100 Å, 90.00 90.00 90.00°
Element x y z (fractional)
Sr  0.128  0.372  0.000
Sr  0.372  0.872  0.000
Sr  0.628  0.128  0.000
Sr  0.872  0.628  0.000
Ca  0.000  0.000  0.000
Ca  0.500  0.500  0.000
Bi  0.175  0.675  0.500
Bi  0.325  0.175  0.500
Bi  0.675  0.825  0.500
Bi  0.825  0.325  0.500

***

A geometry-optimized Sc2ZnSe structure. Source: Alexandria via LeMat-Bulk, functional PBE.

Calculated values
density of states at the Fermi level = 3.60 states/eV per cell
VASP energy = -4.954 eV per atom

Cell: 5.029 5.029 5.029 Å, 127.78 127.78 76.98°
Element x y z (fractional)
Sc  0.250  0.750  0.500
Sc  0.750  0.250  0.500
Zn  0.000  0.000  0.000
Se  0.500  0.500  0.000

***

A geometry-optimized LiPm2PdAu6 structure. Source: Alexandria via LeMat-Bulk, functional PBE.

Calculated values
density of states at the Fermi level = 3.85 states/eV per cell
VASP energy = -4.132 eV per atom

Cell: 5.182 6.020 7.356 Å, 84.60 70.19 81.25°
Element x y z (fractional)
Li  0.000  0.000  0.000
Pm  0.344  0.284  0.219
Pm  0.656  0.716  0.781
Pd  0.500  0.500  0.500
Au  0.144  0.381  0.841
Au  0.213  0.943  0.605
Au  0.303  0.790  0.218
Au  0.697  0.210  0.782
Au  0.787  0.057  0.395
Au  0.856  0.619  0.159

***

A geometry-optimized ZnTc2Sb structure. Source: Alexandria via LeMat-Bulk, functional PBE.

Calculated values
density of states at the Fermi level = 3.48 states/eV per cell
VASP energy = -6.001 eV per atom

Cell: 2.990 2.990 8.346 Å, 90.00 90.00 115.26°
Element x y z (fractional)
Zn  0.000  0.000  0.000
Tc  0.500  0.500  0.250
Tc  0.500  0.500  0.750
Sb  0.000  0.000  0.500

***

A geometry-optimized Nd4Tl5Cu2 structure. Source: Alexandria via LeMat-Bulk, functional PBE.

Calculated values
density of states at the Fermi level = 9.26 states/eV per cell
VASP energy = -3.818 eV per atom

Cell: 8.042 3.819 9.771 Å, 90.00 93.27 90.00°
Element x y z (fractional)
Nd  0.197  0.000  0.351
Nd  0.223  0.000  0.923
Nd  0.777  0.000  0.077
Nd  0.803  0.000  0.649
Tl  0.146  0.500  0.640
Tl  0.448  0.500  0.163
Tl  0.500  0.500  0.500
Tl  0.552  0.500  0.837
Tl  0.854  0.500  0.360
Cu  0.070  0.500  0.122
Cu  0.930  0.500  0.878

***

A geometry-optimized Sc5Ga4Au structure. Source: Alexandria via LeMat-Bulk, functional PBE.

Calculated values
density of states at the Fermi level = 6.32 states/eV per cell
VASP energy = -5.338 eV per atom

Cell: 3.372 3.372 16.828 Å, 90.00 90.00 90.00°
Element x y z (fractional)
Sc  0.000  0.000  0.000
Sc  0.000  0.000  0.198
Sc  0.000  0.000  0.399
Sc  0.000  0.000  0.601
Sc  0.000  0.000  0.802
Ga  0.500  0.500  0.099
Ga  0.500  0.500  0.298
Ga  0.500  0.500  0.702
Ga  0.500  0.500  0.901
Au  0.500  0.500  0.500

***

A geometry-optimized TlPdS structure. Source: Alexandria via LeMat-Bulk, functional PBE.

Calculated values
density of states at the Fermi level = 1.77 states/eV per cell
VASP energy = -4.038 eV per atom

Cell: 6.353 6.353 6.353 Å, 149.28 149.28 43.99°
Element x y z (fractional)
Tl  0.000  0.000  0.000
Pd  0.279  0.279  0.000
S  0.731  0.731  0.000

***

A geometry-optimized BeCuTeI2 structure. Source: Alexandria via LeMat-Bulk, functional PBE.

Calculated values
density of states at the Fermi level = 4.27 states/eV per cell
VASP energy = -2.236 eV per atom

Cell: 5.324 5.324 4.957 Å, 90.00 90.00 90.00°
Element x y z (fractional)
Be  0.000  0.000  0.000
Cu  0.500  0.500  0.500
Te  0.000  0.000  0.500
I  0.000  0.500  0.000
I  0.500  0.000  0.000

***

A geometry-optimized Er3Cu2Pt structure. Source: Alexandria via LeMat-Bulk, functional PBE.

Calculated values
density of states at the Fermi level = 2.40 states/eV per cell
VASP energy = -5.270 eV per atom

Cell: 3.438 3.438 10.433 Å, 90.00 90.00 90.00°
Element x y z (fractional)
Er  0.000  0.000  0.000
Er  0.000  0.000  0.335
Er  0.000  0.000  0.665
Cu  0.500  0.500  0.165
Cu  0.500  0.500  0.835
Pt  0.500  0.500  0.500

***

A geometry-optimized NbAlCoSn2 structure. Source: Alexandria via LeMat-Bulk, functional PBE.

Calculated values
density of states at the Fermi level = 3.56 states/eV per cell
VASP energy = -5.330 eV per atom

Cell: 4.748 4.748 4.786 Å, 90.00 90.00 90.00°
Element x y z (fractional)
Nb  0.000  0.000  0.000
Al  0.500  0.500  0.000
Co  0.000  0.000  0.500
Sn  0.000  0.500  0.500
Sn  0.500  0.000  0.500